*one*
## InHgCl2 (GGA-PBE)

Data for a relaxed InHgCl2 crystal.

## Properties
Calculated volume ... 29.49 Å³/atom
ρ ... 5.4 Mg/m³

Unit cell a=7.3066 b=7.3066 c=7.3066 alpha=146.56 beta=146.56 gamma=48.01
Fractional coordinates of all 4 atoms:
In (0.0000, 0.0000, 0.0000)
Hg (0.7500, 0.2500, 0.5000)
Cl (0.2500, 0.7500, 0.5000)
Cl (0.5000, 0.5000, 0.0000)

*two*
## InHgCl2 (GGA-PBE)

Data for a relaxed InHgCl2 crystal.

## Properties
Calculated volume ... 30.25 Å³/atom
ρ ... 5.3 Mg/m³

Unit cell a=6.4105 b=6.4105 c=6.4105 alpha=146.37 beta=122.76 gamma=68.05
Fractional coordinates of all 4 atoms:
In (0.0000, 0.0000, 0.0000)
Hg (0.5000, 0.5000, 0.0000)
Cl (0.1822, 0.6822, 0.5000)
Cl (0.8178, 0.3178, 0.5000)

Stability ranking, top entry: *two*; the second entry is 0.032 eV/atom less favorable.

*one*
## InHgCl (GGA-PBE)

Data for a relaxed InHgCl crystal.

## Properties
Calculated volume ... 30.41 Å³/atom
ρ ... 6.4 Mg/m³

Unit cell a=4.4924 b=4.4924 c=9.5492 alpha=103.16 beta=103.16 gamma=90.01
Fractional coordinates of all 6 atoms:
In (0.1629, 0.1629, 0.3131)
In (0.8371, 0.8371, 0.6869)
Hg (0.0000, 0.5000, 0.0000)
Hg (0.5000, 0.0000, 0.0000)
Cl (0.3130, 0.3130, 0.6287)
Cl (0.6870, 0.6870, 0.3713)

*two*
## InHgCl (GGA-PBE)

Data for a relaxed InHgCl crystal.

## Properties
Calculated volume ... 34.71 Å³/atom
ρ ... 5.6 Mg/m³

Unit cell a=11.0192 b=4.3476 c=4.3476 alpha=89.99 beta=90.00 gamma=90.00
Fractional coordinates of all 6 atoms:
In (0.1571, 0.2500, 0.7500)
In (0.8429, 0.7500, 0.2500)
Hg (0.4533, 0.2572, 0.7572)
Hg (0.5467, 0.7572, 0.2572)
Cl (0.1114, 0.7517, 0.2517)
Cl (0.8886, 0.2517, 0.7517)

*three*
## InHgCl (GGA-PBE)

Data for a relaxed InHgCl crystal.

## Properties
Calculated volume ... 34.41 Å³/atom
ρ ... 5.6 Mg/m³

Unit cell a=4.5529 b=4.5529 c=5.7500 alpha=90.00 beta=90.00 gamma=120.00
Fractional coordinates of all 3 atoms:
In (0.0000, 0.0000, 0.0000)
Hg (0.3333, 0.6667, 0.6644)
Cl (0.6667, 0.3333, 0.2382)

*four*
## InHgCl (GGA-PBE)

Data for a relaxed InHgCl crystal.

## Properties
Calculated volume ... 31.54 Å³/atom
ρ ... 6.2 Mg/m³

Unit cell a=7.1090 b=7.1090 c=7.1090 alpha=149.08 beta=149.08 gamma=44.30
Fractional coordinates of all 3 atoms:
In (0.0000, 0.0000, 0.0000)
Hg (0.6847, 0.6847, 0.0000)
Cl (0.3930, 0.3930, 0.0000)

Stability ranking, top entry: *one*; the second entry is 0.008 eV/atom less favorable.

*one*
## In3HgCl (GGA-PBE)

Data for a relaxed In3HgCl crystal.

## Properties
Calculated volume ... 38.00 Å³/atom
ρ ... 5.1 Mg/m³

Unit cell a=5.7488 b=5.7488 c=5.7488 alpha=90.00 beta=90.00 gamma=90.00
Fractional coordinates of all 5 atoms:
In (0.0000, 0.0000, 0.5000)
In (0.0000, 0.5000, 0.0000)
In (0.5000, 0.0000, 0.0000)
Hg (0.5000, 0.5000, 0.5000)
Cl (0.0000, 0.0000, 0.0000)

*two*
## In3HgCl (GGA-PBE)

Data for a relaxed In3HgCl crystal.

## Properties
Calculated volume ... 36.27 Å³/atom
ρ ... 5.3 Mg/m³

Unit cell a=5.6603 b=5.6603 c=5.6603 alpha=90.00 beta=90.00 gamma=90.00
Fractional coordinates of all 5 atoms:
In (0.0000, 0.0000, 0.5000)
In (0.0000, 0.5000, 0.0000)
In (0.5000, 0.0000, 0.0000)
Hg (0.0000, 0.0000, 0.0000)
Cl (0.5000, 0.5000, 0.5000)

Stability ranking, top entry: *two*; the second entry is 0.052 eV/atom less favorable.

*one*
## InHg4Cl (GGA-PBE)

Data for a relaxed InHg4Cl crystal.

## Properties
Calculated volume ... 31.21 Å³/atom
ρ ... 8.4 Mg/m³

Unit cell a=3.8847 b=8.0881 c=12.4974 alpha=100.62 beta=90.26 gamma=103.71
Fractional coordinates of all 12 atoms:
In (0.2232, 0.4370, 0.2089)
In (0.7768, 0.5630, 0.7911)
Hg (0.0000, 0.0000, 0.0000)
Hg (0.1680, 0.3323, 0.4414)
Hg (0.3411, 0.6819, 0.0267)
Hg (0.4654, 0.9410, 0.7615)
Hg (0.5000, 0.0000, 0.5000)
Hg (0.5346, 0.0590, 0.2385)
Hg (0.6589, 0.3181, 0.9733)
Hg (0.8320, 0.6677, 0.5586)
Cl (0.1583, 0.3240, 0.7075)
Cl (0.8417, 0.6760, 0.2925)

*two*
## InHg4Cl (GGA-PBE)

Data for a relaxed InHg4Cl crystal.

## Properties
Calculated volume ... 29.56 Å³/atom
ρ ... 8.9 Mg/m³

Unit cell a=6.3067 b=6.3067 c=6.3067 alpha=60.00 beta=60.00 gamma=60.00
Fractional coordinates of all 6 atoms:
In (0.0000, 0.0000, 0.0000)
Hg (0.3756, 0.3756, 0.3756)
Hg (0.3756, 0.3756, 0.8732)
Hg (0.3756, 0.8732, 0.3756)
Hg (0.8732, 0.3756, 0.3756)
Cl (0.7500, 0.7500, 0.7500)

Stability ranking, top entry: *one*; the second entry is 0.108 eV/atom less favorable.

*one*
## InHgCl4 (GGA-PBE)

Data for a relaxed InHgCl4 crystal.

## Properties
Calculated volume ... 27.80 Å³/atom
ρ ... 4.6 Mg/m³

Unit cell a=6.1790 b=6.1790 c=6.1790 alpha=60.00 beta=60.00 gamma=60.00
Fractional coordinates of all 6 atoms:
In (0.0000, 0.0000, 0.0000)
Hg (0.2500, 0.2500, 0.2500)
Cl (0.1237, 0.6254, 0.6254)
Cl (0.6254, 0.1237, 0.6254)
Cl (0.6254, 0.6254, 0.1237)
Cl (0.6254, 0.6254, 0.6254)

*two*
## InHgCl4 (GGA-PBE)

Data for a relaxed InHgCl4 crystal.

## Properties
Calculated volume ... 31.17 Å³/atom
ρ ... 4.1 Mg/m³

Unit cell a=7.5127 b=7.5127 c=7.7504 alpha=119.89 beta=119.89 gamma=29.94
Fractional coordinates of all 6 atoms:
In (0.0000, 0.0000, 0.0000)
Hg (0.5000, 0.5000, 0.5000)
Cl (0.1103, 0.1103, 0.3746)
Cl (0.3800, 0.3800, 0.0072)
Cl (0.6200, 0.6200, 0.9928)
Cl (0.8897, 0.8897, 0.6254)

Stability ranking, top entry: *two*; the second entry is 0.885 eV/atom less favorable.

*one*
## In2HgCl2 (GGA-PBE)

Data for a relaxed In2HgCl2 crystal.

## Properties
Calculated volume ... 36.16 Å³/atom
ρ ... 4.6 Mg/m³

Unit cell a=7.8165 b=7.8165 c=7.8165 alpha=141.86 beta=141.86 gamma=55.03
Fractional coordinates of all 5 atoms:
In (0.1402, 0.1402, 0.0000)
In (0.8598, 0.8598, 0.0000)
Hg (0.5000, 0.5000, 0.0000)
Cl (0.2500, 0.7500, 0.5000)
Cl (0.7500, 0.2500, 0.5000)

*two*
## In2HgCl2 (GGA-PBE)

Data for a relaxed In2HgCl2 crystal.

## Properties
Calculated volume ... 33.18 Å³/atom
ρ ... 5.0 Mg/m³

Unit cell a=6.1138 b=4.3665 c=12.4632 alpha=90.00 beta=94.31 gamma=90.00
Fractional coordinates of all 10 atoms:
In (0.1164, 0.2500, 0.2034)
In (0.3479, 0.2500, 0.5765)
In (0.6521, 0.7500, 0.4235)
In (0.8836, 0.7500, 0.7966)
Hg (0.3003, 0.7500, 0.0173)
Hg (0.6997, 0.2500, 0.9827)
Cl (0.1086, 0.7500, 0.3596)
Cl (0.4036, 0.7500, 0.7346)
Cl (0.5964, 0.2500, 0.2654)
Cl (0.8914, 0.2500, 0.6404)

Stability ranking, top entry: *two*; the second entry is 0.025 eV/atom less favorable.